First-principles (PBE) data for YHgTe2 after structural relaxation, as listed in the Alexandria database.

Lattice parameters (Å, degrees): 9.636 9.636 9.636 25.42 25.42 25.42
Atoms (fractional coordinates):
Y (0.000, 0.000, 0.000)
Hg (0.500, 0.500, 0.500)
Te (0.105, 0.105, 0.105)
Te (0.895, 0.895, 0.895)

Calculated values
Its symmetry is R-3m. For the raw formation energy, the calculation gives 0.01 eV/f.u. The calculation puts the distance to the lowest polymorph of the same formula at 0.900 eV per atom. The magnetic moment is 0.000 μB/atom. For the raw total energy, the calculation gives -3.26 eV/atom.


First-principles (PBE) data for Y2HgTe after structural relaxation, as listed in the Alexandria database.

Lattice parameters (Å, degrees): 5.509 5.509 5.509 125.75 125.75 80.30
Atoms (fractional coordinates):
Y (0.250, 0.750, 0.500)
Y (0.750, 0.250, 0.500)
Hg (0.000, 0.000, 0.000)
Te (0.500, 0.500, 0.000)

Calculated values
Its symmetry is I4/mmm. For the raw formation energy, the calculation gives -2.72 eV/f.u. The calculation puts the distance to the lowest polymorph of the same formula at 0.245 eV per atom. The magnetic moment is 0.000 μB/atom. For the raw total energy, the calculation gives -4.77 eV/atom.


First-principles (PBE) data for YHgTe2 after structural relaxation, as listed in the Alexandria database.

Lattice parameters (Å, degrees): 3.974 5.212 5.301 90.00 90.00 90.00
Atoms (fractional coordinates):
Y (0.000, 0.000, 0.000)
Hg (0.000, 0.500, 0.500)
Te (0.500, 0.000, 0.500)
Te (0.500, 0.500, 0.000)

Calculated values
Its symmetry is Pmmm. For the raw formation energy, the calculation gives -2.46 eV/f.u. The calculation puts the distance to the lowest polymorph of the same formula at 0.282 eV per atom. The magnetic moment is 0.000 μB/atom. For the raw total energy, the calculation gives -3.88 eV/atom.


First-principles (PBE) data for YHgTe after structural relaxation, as listed in the Alexandria database.

Lattice parameters (Å, degrees): 4.947 4.947 4.096 90.00 90.00 120.00
Atoms (fractional coordinates):
Y (0.000, 0.000, 0.000)
Hg (0.667, 0.333, 0.292)
Te (0.333, 0.667, 0.643)

Calculated values
Its symmetry is P3m1. For the raw formation energy, the calculation gives -1.60 eV/f.u. The calculation puts the distance to the lowest polymorph of the same formula at 0.273 eV per atom. The magnetic moment is 0.056 μB/atom. For the raw total energy, the calculation gives -3.84 eV/atom.


First-principles (PBE) data for YHgTe2 after structural relaxation, as listed in the Alexandria database.

Lattice parameters (Å, degrees): 5.249 5.249 4.117 90.00 90.00 100.64
Atoms (fractional coordinates):
Y (0.000, 0.000, 0.000)
Hg (0.500, 0.500, 0.000)
Te (0.000, 0.500, 0.500)
Te (0.500, 0.000, 0.500)

Calculated values
Its symmetry is Cmmm. For the raw formation energy, the calculation gives -2.42 eV/f.u. The calculation puts the distance to the lowest polymorph of the same formula at 0.293 eV per atom. The magnetic moment is 0.000 μB/atom. For the raw total energy, the calculation gives -3.87 eV/atom.


First-principles (PBE) data for YHgTe2 after structural relaxation, as listed in the Alexandria database.

Lattice parameters (Å, degrees): 8.504 8.504 8.504 131.15 131.15 71.57
Atoms (fractional coordinates):
Y (0.000, 0.000, 0.000)
Y (0.750, 0.250, 0.500)
Hg (0.250, 0.750, 0.500)
Hg (0.500, 0.500, 0.000)
Te (0.110, 0.625, 0.985)
Te (0.375, 0.360, 0.485)
Te (0.640, 0.125, 0.015)
Te (0.875, 0.890, 0.515)

Calculated values
Its symmetry is I-42d. For the raw formation energy, the calculation gives -2.44 eV/f.u. The calculation puts the distance to the lowest polymorph of the same formula at 0.287 eV per atom. The magnetic moment is 0.000 μB/atom. For the raw total energy, the calculation gives -3.87 eV/atom.


First-principles (PBE) data for Y5Hg2Te2 after structural relaxation, as listed in the Alexandria database.

Lattice parameters (Å, degrees): 8.761 8.761 8.049 90.00 90.00 55.14
Atoms (fractional coordinates):
Y (0.000, 0.000, 0.000)
Y (0.035, 0.702, 0.663)
Y (0.202, 0.535, 0.163)
Y (0.298, 0.965, 0.663)
Y (0.465, 0.798, 0.163)
Y (0.500, 0.500, 0.500)
Y (0.535, 0.202, 0.837)
Y (0.702, 0.035, 0.337)
Y (0.798, 0.465, 0.837)
Y (0.965, 0.298, 0.337)
Hg (0.134, 0.866, 0.369)
Hg (0.366, 0.634, 0.869)
Hg (0.634, 0.366, 0.131)
Hg (0.866, 0.134, 0.631)
Te (0.204, 0.204, 0.000)
Te (0.296, 0.296, 0.500)
Te (0.704, 0.704, 0.500)
Te (0.796, 0.796, 0.000)

Calculated values
Its symmetry is Cmce. For the raw formation energy, the calculation gives -7.64 eV/f.u. The magnetic moment is 0.000 μB/atom. For the raw total energy, the calculation gives -5.20 eV/atom.


First-principles (PBE) data for YHgTe2 after structural relaxation, as listed in the Alexandria database.

Lattice parameters (Å, degrees): 4.386 6.170 10.921 106.30 91.20 92.18
Atoms (fractional coordinates):
Y (0.234, 0.200, 0.391)
Y (0.766, 0.800, 0.609)
Hg (0.096, 0.647, 0.938)
Hg (0.904, 0.353, 0.062)
Te (0.247, 0.700, 0.397)
Te (0.285, 0.955, 0.814)
Te (0.715, 0.045, 0.186)
Te (0.753, 0.300, 0.603)

Calculated values
Its symmetry is P-1. For the raw formation energy, the calculation gives -3.59 eV/f.u. The calculation puts the distance to the lowest polymorph of the same formula at 0.000 eV per atom. The magnetic moment is 0.000 μB/atom. For the raw total energy, the calculation gives -4.16 eV/atom.